# 1
A relaxed VHg2RhC crystal. Source: Alexandria, functional PBE-GGA.

abc: 4.5360 4.5360 3.9322
angles: 90.00 90.00 90.00
Space group P4/mmm (No. 123)
Asymmetric unit:
V (0.0000, 0.0000, 0.0000) (multiplicity 1)
Hg (0.0000, 0.5000, 0.5000) (multiplicity 2)
Rh (0.5000, 0.5000, 0.0000) (multiplicity 1)
C (0.0000, 0.0000, 0.5000) (multiplicity 1)

For the theoretical density, the calculation gives 11.638 g/cm3. The value obtained for the total energy is -22.0 eV per cell. The value obtained for the formation energy is 82.1 kJ per mole of atoms. As for the calculated volume: 16.18 A^3/atom.

# 2
A relaxed Y2HgRhC crystal. Source: Alexandria, functional PBE-GGA.

abc: 5.0473 5.0473 3.9371
angles: 90.00 90.00 90.00
Space group P4/mmm (No. 123)
Asymmetric unit:
Y (0.0000, 0.5000, 0.0000) (multiplicity 2)
Hg (0.0000, 0.0000, 0.5000) (multiplicity 1)
Rh (0.5000, 0.5000, 0.5000) (multiplicity 1)
C (0.5000, 0.5000, 0.0000) (multiplicity 1)

For the theoretical density, the calculation gives 8.168 g/cm3. The value obtained for the total energy is -32.4 eV per cell. The value obtained for the formation energy is -49.7 kJ per mole of atoms. As for the calculated volume: 20.06 A^3/atom.

# 3
A relaxed HgRu2C crystal. Source: Alexandria, functional PBE-GGA.

abc: 6.0893 6.0893 6.0893
angles: 90.00 90.00 90.00
Space group Fm-3m (No. 225)
Asymmetric unit:
Hg (0.0000, 0.0000, 0.0000) (multiplicity 4)
Ru (0.2500, 0.2500, 0.2500) (multiplicity 8)
C (0.0000, 0.0000, 0.5000) (multiplicity 4)

For the theoretical density, the calculation gives 12.201 g/cm3. The value obtained for the total energy is -85.2 eV per cell. The value obtained for the formation energy is 163.2 kJ per mole of atoms. As for the calculated volume: 14.11 A^3/atom.

# 4
A relaxed HgRuC2 crystal. Source: Alexandria, functional PBE-GGA.

abc: 5.0652 5.0652 9.2723
angles: 90.00 90.00 90.00
Space group I-42d (No. 122)
Asymmetric unit:
Hg (0.0000, 0.0000, 0.0000) (multiplicity 4)
Ru (0.0000, 0.0000, 0.5000) (multiplicity 4)
C (0.1740, 0.2500, 0.6250) (multiplicity 8)

For the theoretical density, the calculation gives 9.093 g/cm3. The value obtained for the total energy is -93.0 eV per cell. The value obtained for the formation energy is 115.2 kJ per mole of atoms. As for the calculated volume: 14.87 A^3/atom.

# 5
A relaxed Hg2RuC crystal. Source: Alexandria, functional PBE-GGA.

abc: 8.8922 8.8922 3.9043
angles: 90.00 90.00 90.00
Space group I-42d (No. 122)
Asymmetric unit:
Hg (0.1169, 0.2500, 0.1250) (multiplicity 8)
Ru (0.0000, 0.0000, 0.5000) (multiplicity 4)
C (0.0000, 0.0000, 0.0000) (multiplicity 4)

For the theoretical density, the calculation gives 11.064 g/cm3. The value obtained for the total energy is -59.6 eV per cell. The value obtained for the formation energy is 101.3 kJ per mole of atoms. As for the calculated volume: 19.30 A^3/atom.

# 6
A relaxed HgRuC3 crystal. Source: Alexandria, functional PBE-GGA.

abc: 4.1550 4.1550 4.1550
angles: 90.00 90.00 90.00
Space group Pm-3m (No. 221)
Asymmetric unit:
Hg (0.0000, 0.0000, 0.0000) (multiplicity 1)
Ru (0.5000, 0.5000, 0.5000) (multiplicity 1)
C (0.0000, 0.0000, 0.5000) (multiplicity 3)

The calculation puts the excess energy over the best structure of this formula in the dataset at 1669 meV/atom. For the theoretical density, the calculation gives 7.817 g/cm3. The value obtained for the total energy is -18.3 eV per cell. The value obtained for the formation energy is 365.1 kJ per mole of atoms. As for the calculated volume: 14.35 A^3/atom.